[1]
10
Lattice="6.896 0.000 0.000 0.000 6.896 0.000 0.000 0.000 3.414" Properties=species:S:1:pos:R:3 comment="HfZn2Mo2 PBE relaxed" sg="P4/mbm, No. 127" formation_enthalpy_0k_ev_per_atom=0.11 de_polymorph_mev_per_atom=0 volume_a3_per_atom=16.2 n_ef_per_ev_cell=8.69 pbc="T T T"
Hf 0.000 0.000 0.000
Hf 3.448 3.448 0.000
Zn 0.841 2.607 0.000
Zn 2.607 6.055 0.000
Zn 4.289 0.841 0.000
Zn 6.055 4.289 0.000
Mo 1.220 4.668 1.707
Mo 2.228 1.220 1.707
Mo 4.668 5.677 1.707
Mo 5.677 2.228 1.707

[2]
4
Lattice="4.029 0.000 0.000 0.000 4.029 0.000 0.000 0.000 4.017" Properties=species:S:1:pos:R:3 comment="HfZn2Mo PBE relaxed" sg="P4/mmm, No. 123" formation_enthalpy_0k_ev_per_atom=-0.05 de_polymorph_mev_per_atom=0 volume_a3_per_atom=16.3 n_ef_per_ev_cell=2.44 pbc="T T T"
Hf 0.000 0.000 0.000
Zn 0.000 2.015 2.009
Zn 2.015 0.000 2.009
Mo 2.015 2.015 0.000

[3]
5
Lattice="4.696 0.000 0.000 0.000 4.696 0.000 0.000 0.000 4.696" Properties=species:S:1:pos:R:3 comment="HfZn3Mo PBE relaxed" sg="Pm-3m, No. 221" formation_enthalpy_0k_ev_per_atom=0.96 de_polymorph_mev_per_atom=0 volume_a3_per_atom=20.7 n_ef_per_ev_cell=1.42 pbc="T T T"
Hf 0.000 0.000 0.000
Zn 0.000 2.348 2.348
Zn 2.348 0.000 2.348
Zn 2.348 2.348 0.000
Mo 2.348 2.348 2.348

[4]
5
Lattice="-1.967 1.967 5.857 1.967 -1.967 5.857 1.967 1.967 -5.857" Properties=species:S:1:pos:R:3 comment="HfZn2Mo2 PBE relaxed" sg="I4/mmm, No. 139" formation_enthalpy_0k_ev_per_atom=0.34 de_polymorph_mev_per_atom=231 volume_a3_per_atom=18.1 n_ef_per_ev_cell=2.17 pbc="T T T"
Hf 0.000 0.000 0.000
Zn 1.967 0.000 2.928
Zn 0.000 1.967 2.928
Mo 0.000 0.000 4.748
Mo 0.000 0.000 6.966